Compound: Ba2GaTeCl
Source: Alexandria
Functional: GGA-PBE
Structure: relaxed

**Magnetic moment**: 0.00 μB/f.u.
**E_form (uncorrected)**: -0.785 eV/atom

Unit cell a=6.3326 b=6.3326 c=5.3400 alpha=90.00 beta=90.00 gamma=90.00
With the nearest neighbours (Å) after each atom.
Positions (direct):
Ba1 0.0000 0.5000 0.0000  2 Ga 3.17
Ba2 0.5000 0.0000 0.0000  2 Ga 3.17
Ga1 0.0000 0.0000 0.0000  2 Te 2.67
Te1 0.0000 0.0000 0.5000  2 Ga 2.67
Cl1 0.5000 0.5000 0.5000  8 Ba 4.14, 4 Te 4.48

---

Compound: Sm2YMg
Source: Alexandria
Functional: GGA-PBE
Structure: relaxed

**Magnetic moment**: 0.00 μB/f.u.
**Formation energy**: -0.039 eV/atom

Unit cell a=5.1931 b=5.1931 c=18.2698 alpha=90.00 beta=90.00 gamma=90.00
With the nearest neighbours (Å) after each atom.
Positions (direct):
Sm1 0.0000 0.0000 0.1342  4 Mg 3.35, 4 Sm 3.57, 4 Y 3.67
Sm2 0.0000 0.0000 0.8658  4 Mg 3.35, 4 Sm 3.57, 4 Y 3.67
Sm3 0.0000 0.5000 0.0000  8 Sm 3.57-3.67, 4 Y 3.61
Sm4 0.0000 0.5000 0.5000  8 Sm 3.57-3.67, 4 Y 3.61
Sm5 0.5000 0.0000 0.0000  8 Sm 3.57-3.67, 4 Y 3.61
Sm6 0.5000 0.0000 0.5000  8 Sm 3.57-3.67, 4 Y 3.61
Sm7 0.5000 0.5000 0.3658  4 Mg 3.35, 4 Sm 3.57, 4 Y 3.67
Sm8 0.5000 0.5000 0.6342  4 Mg 3.35, 4 Sm 3.57, 4 Y 3.67
Y1 0.0000 0.0000 0.3630  4 Mg 3.32, 8 Sm 3.61-3.67
Y2 0.0000 0.0000 0.6370  4 Mg 3.32, 8 Sm 3.61-3.67
Y3 0.5000 0.5000 0.1370  4 Mg 3.32, 8 Sm 3.61-3.67
Y4 0.5000 0.5000 0.8630  4 Mg 3.32, 8 Sm 3.61-3.67
Mg1 0.0000 0.5000 0.2500  4 Y 3.32, 4 Sm 3.35, 4 Mg 3.67
Mg2 0.0000 0.5000 0.7500  4 Y 3.32, 4 Sm 3.35, 4 Mg 3.67
Mg3 0.5000 0.0000 0.2500  4 Y 3.32, 4 Sm 3.35, 4 Mg 3.67
Mg4 0.5000 0.0000 0.7500  4 Y 3.32, 4 Sm 3.35, 4 Mg 3.67

---

Compound: CoCuTe2I
Source: Alexandria
Functional: GGA-PBE
Structure: relaxed

**Magnetic moment**: 2.77 μB/f.u.
**E_form (uncorrected)**: 0.951 eV/atom

Unit cell a=5.1361 b=5.1361 c=5.3399 alpha=90.00 beta=90.00 gamma=90.00
With the nearest neighbours (Å) after each atom.
Positions (direct):
Co1 0.0000 0.0000 0.0000  4 I 3.63, 8 Te 3.70
Cu1 0.5000 0.5000 0.5000  4 Te 2.57, 2 I 2.67
Te1 0.0000 0.5000 0.5000  2 Cu 2.57
Te2 0.5000 0.0000 0.5000  2 Cu 2.57
I1 0.5000 0.5000 0.0000  2 Cu 2.67

---

Compound: Ac2PaHgO6
Source: Alexandria
Functional: GGA-PBE
Structure: relaxed

**Magnetic moment**: 0.00 μB/f.u.
**E_form (uncorrected)**: -2.916 eV/atom

Unit cell a=6.2333 b=6.2589 c=11.6872 alpha=90.00 beta=122.20 gamma=90.00
With the nearest neighbours (Å) after each atom.
Positions (direct):
Ac1 0.2154 0.0005 0.2156  6 O 2.48-2.66
Ac2 0.2154 0.4995 0.7156  6 O 2.48-2.66
Ac3 0.7846 0.5005 0.2844  6 O 2.48-2.66
Ac4 0.7846 0.9995 0.7844  6 O 2.48-2.66
Pa1 0.5000 0.0000 0.0000  6 O 2.18-2.20
Pa2 0.5000 0.5000 0.5000  6 O 2.18-2.20
Hg1 0.0000 0.0000 0.5000  2 O 2.41
Hg2 0.0000 0.5000 0.0000  2 O 2.41
O1 0.1891 0.6947 0.3425  1 Pa 2.20
O2 0.1891 0.8053 0.8425  1 Pa 2.20
O3 0.1920 0.1652 0.9997  1 Pa 2.18, 1 Hg 2.41
O4 0.1920 0.3348 0.4997  1 Pa 2.18, 1 Hg 2.41
O5 0.4947 0.1929 0.8415  1 Pa 2.20
O6 0.4947 0.3071 0.3415  1 Pa 2.20
O7 0.5053 0.6929 0.6585  1 Pa 2.20
O8 0.5053 0.8071 0.1585  1 Pa 2.20
O9 0.8080 0.6652 0.5003  1 Pa 2.18, 1 Hg 2.41
O10 0.8080 0.8348 0.0003  1 Pa 2.18, 1 Hg 2.41
O11 0.8109 0.1947 0.1575  1 Pa 2.20
O12 0.8109 0.3053 0.6575  1 Pa 2.20